DFT (PBE with a Hubbard U) results for a geometry-optimized NdMnP2O8 structure.

Lattice parameters (Å, degrees): 4.989 4.989 6.766 90.00 90.00 120.00
Fractional coordinates of all 12 atoms:
1 Nd 0.000 0.000 0.000
2 Mn 0.000 0.000 0.500
3 P 0.333 0.667 0.755
4 P 0.667 0.333 0.245
5 O 0.096 0.334 0.689
6 O 0.238 0.904 0.689
7 O 0.333 0.667 0.983
8 O 0.334 0.238 0.311
9 O 0.666 0.762 0.689
10 O 0.667 0.333 0.017
11 O 0.762 0.096 0.311
12 O 0.904 0.666 0.311

Summary:
As for the calculated density: 4.431 g/cm³. As for the energy: -7.54 eV per atom. The value obtained for the density of states at the Fermi level is 0.0 states/eV/f.u.